1.
Material: Hf2BeNi
Method: DFT, PBE
State: relaxed

E_form: 0.31 eV per atom
E: -56.38 eV per cell

Cell: 7.0208 7.0208 5.6753 Å, 51.79 51.79 90.00°
Closest atoms and distances in Å follow each position.
Atoms (fractional coordinates):
Ni 0.7500 0.2500 0.5000  4 Hf 2.49, 2 Be 2.75
Hf 0.1071 0.6250 0.2500  2 Ni 2.49, 2 Be 2.66, 2 Hf 2.76
Ni 0.0000 0.0000 0.0000  4 Hf 2.49, 2 Be 2.75
Be 0.2500 0.7500 0.5000  4 Hf 2.66, 2 Ni 2.75
Be 0.5000 0.5000 0.0000  4 Hf 2.66, 2 Ni 2.75
Hf 0.6429 0.1250 0.2500  2 Ni 2.49, 2 Be 2.66, 2 Hf 2.76
Hf 0.3750 0.3571 0.7500  2 Ni 2.49, 2 Be 2.66, 2 Hf 2.76
Hf 0.8750 0.8929 0.7500  2 Ni 2.49, 2 Be 2.66, 2 Hf 2.76

2.
Material: Sc5SnOs4
Method: DFT, PBE
State: relaxed

E_form: -0.43 eV per atom
E: -84.87 eV per cell

Cell: 3.2697 3.2697 16.6582 Å, 90.00 90.00 90.00°
Closest atoms and distances in Å follow each position.
Atoms (fractional coordinates):
Os 0.0000 0.0000 0.5956  8 Sc 2.79-2.81
Os 0.0000 0.0000 0.2114  8 Sc 2.73-2.85
Os 0.0000 0.0000 0.7886  8 Sc 2.73-2.85
Sc 0.5000 0.5000 0.5000  8 Os 2.81
Sc 0.5000 0.5000 0.6889  8 Os 2.79-2.85, 1 Sc 3.10
Sc 0.5000 0.5000 0.1248  4 Os 2.73
Sc 0.5000 0.5000 0.8752  4 Os 2.73
Sc 0.5000 0.5000 0.3111  8 Os 2.79-2.85, 1 Sc 3.10
Os 0.0000 0.0000 0.4044  8 Sc 2.79-2.81
Sn 0.0000 0.0000 0.0000  8 Sc 3.11, 4 Sn 3.27